# 1
Entry from Alexandria via LeMat-Bulk: crystalline Hf3PdN at its relaxed geometry (PBEsol).

```
Hf3PdN
1.0
4.3363 0.0000 0.0000
0.0000 4.3363 0.0000
0.0000 0.0000 4.3363
Hf Pd N
3 1 1
direct
0.0000 0.0000 0.5000 Hf
0.0000 0.5000 0.0000 Hf
0.5000 0.0000 0.0000 Hf
0.5000 0.5000 0.5000 Pd
0.0000 0.0000 0.0000 N
```

Output
* density: 13.4 g/cm3
* raw formation energy: -506 kJ/mol of formula units
* D(E_F): 2.2 states/eV per cell
* space group: Pm-3m (221)



# 2
Entry from Alexandria via LeMat-Bulk: crystalline ScRh2 at its relaxed geometry (PBEsol).

```
ScRh2
1.0
3.6219 0.0000 0.0000
0.0000 3.6219 0.0000
0.0000 0.0000 4.0577
Sc Rh
1 2
direct
0.0000 0.0000 0.0000 Sc
0.0000 0.5000 0.5000 Rh
0.5000 0.0000 0.5000 Rh
```

Output
* density: 7.8 g/cm3
* energy of formation from the pure elements: -0.160 eV/atom
* D(E_F): 3.6 states/eV per cell
* space group: P4/mmm (123)



# 3
Entry from Alexandria via LeMat-Bulk: crystalline ScPb at its relaxed geometry (PBEsol).

```
ScPb
1.0
5.9812 0.0000 0.0000
0.0000 5.2654 0.0000
0.0000 0.0000 5.9839
Sc Pb
4 4
direct
0.1254 0.2500 0.1338 Sc
0.3746 0.7500 0.6338 Sc
0.6254 0.2500 0.3662 Sc
0.8746 0.7500 0.8662 Sc
0.1233 0.2500 0.6387 Pb
0.3767 0.7500 0.1387 Pb
0.6233 0.2500 0.8613 Pb
0.8767 0.7500 0.3613 Pb
```

Output
* density: 8.9 g/cm3
* energy of formation from the pure elements: -0.402 eV/atom
* D(E_F): 3.7 states/eV per cell
* space group: Pnma (62)



# 4
Entry from Alexandria via LeMat-Bulk: crystalline HgSe at its relaxed geometry (PBEsol).

```
HgSe
1.0
5.9193 0.0000 0.0000
-2.9596 5.1262 0.0000
0.0000 0.0000 5.1839
Hg Se
3 3
direct
0.0000 0.0000 0.0000 Hg
0.3333 0.6667 0.5000 Hg
0.6667 0.3333 0.5000 Hg
0.0000 0.5000 0.0000 Se
0.5000 0.0000 0.0000 Se
0.5000 0.5000 0.0000 Se
```

Output
* density: 8.9 g/cm3
* raw formation energy: 62 kJ/mol of formula units
* D(E_F): 2.4 states/eV per cell
* space group: P6/mmm (191)



# 5
Entry from Alexandria via LeMat-Bulk: crystalline Li2Mn3TeO8 at its relaxed geometry (PBEsol).

```
Li2Mn3TeO8
1.0
2.9641 1.7114 5.1171
-2.9641 1.7114 5.1171
0.0000 -3.4227 5.1171
Li Mn Te O
2 3 1 8
direct
0.1325 0.1325 0.1325 Li
0.8675 0.8675 0.8675 Li
0.0000 0.5000 0.5000 Mn
0.5000 0.0000 0.5000 Mn
0.5000 0.5000 0.0000 Mn
0.5000 0.5000 0.5000 Te
0.2238 0.3046 0.7233 O
0.2753 0.2753 0.2753 O
0.2767 0.7762 0.6954 O
0.3046 0.7233 0.2238 O
0.6954 0.2767 0.7762 O
0.7233 0.2238 0.3046 O
0.7247 0.7247 0.7247 O
0.7762 0.6954 0.2767 O
```

Output
* density: 4.6 g/cm3
* raw formation energy: -2115 kJ/mol of formula units
* D(E_F): 0.6 states/eV per cell
* ΔE to the lowest computed polymorph: 24 meV/atom
* space group: R-3 (148)



# 6
Entry from Alexandria via LeMat-Bulk: crystalline LiSiTc2 at its relaxed geometry (PBEsol).

```
LiSiTc2
1.0
3.0581 0.0000 0.0000
0.0000 4.2157 0.0000
0.0000 0.0000 7.9750
Li Si Tc
2 2 4
direct
0.0000 0.0000 0.0000 Li
0.5000 0.5000 0.5000 Li
0.0000 0.0000 0.5000 Si
0.5000 0.5000 0.0000 Si
0.0000 0.5000 0.2465 Tc
0.0000 0.5000 0.7535 Tc
0.5000 0.0000 0.2535 Tc
0.5000 0.0000 0.7465 Tc
```

Output
* density: 7.5 g/cm3
* raw formation energy: -18 kJ/mol of formula units
* D(E_F): 4.7 states/eV per cell
* space group: Immm (71)



# 7
Entry from Alexandria via LeMat-Bulk: crystalline RuRh at its relaxed geometry (PBEsol).

```
RuRh
1.0
5.3961 0.0000 0.0000
0.0000 5.3961 0.0000
0.0000 0.0000 5.3961
Ru Rh
4 4
direct
0.0000 0.0000 0.0000 Ru
0.0000 0.5000 0.5000 Ru
0.5000 0.0000 0.5000 Ru
0.5000 0.5000 0.0000 Ru
0.2500 0.2500 0.2500 Rh
0.2500 0.7500 0.7500 Rh
0.7500 0.2500 0.7500 Rh
0.7500 0.7500 0.2500 Rh
```

Output
* density: 8.6 g/cm3
* energy of formation from the pure elements: 1.295 eV/atom
* D(E_F): 4.9 states/eV per cell
* space group: F-43m (216)



# 8
Entry from Alexandria via LeMat-Bulk: crystalline CoH2OF at its relaxed geometry (PBEsol).

```
CoH2OF
1.0
2.7459 0.0000 0.0000
0.0000 2.7459 0.0000
0.0000 0.0000 6.2634
Co H O F
1 2 1 1
direct
0.0000 0.0000 0.0000 Co
0.0000 0.5000 0.5000 H
0.5000 0.0000 0.5000 H
0.5000 0.5000 0.0000 O
0.0000 0.0000 0.5000 F
```

Output
* density: 3.4 g/cm3
* calculated total energy: -4.3285 eV/atom
* D(E_F): 3.5 states/eV per cell
* space group: P4/mmm (123)